# GGA-PBE Ba3InSi, relaxed
# Energy relative to the elements, uncorrected   -334 meV per atom
# Energy above the lowest structure with this stoichiometry   0 meV/atom
data_Ba3InSi
_chemical_formula_sum 'Ba6 In2 Si2'
_cell_length_a 4.152
_cell_length_b 10.124
_cell_length_c 10.164
_cell_angle_alpha 93.85
_cell_angle_beta 90.01
_cell_angle_gamma 101.79
_symmetry_space_group_name_H-M 'P 1'
_symmetry_Int_Tables_number 1
loop_
_symmetry_equiv_pos_as_xyz
'x,y,z'
loop_
_atom_site_label
_atom_site_fract_x
_atom_site_fract_y
_atom_site_fract_z
_atom_site_occupancy
Ba1 0.000 0.000 0.000 1
Ba2 0.096 0.193 0.363 1
Ba3 0.294 0.593 0.982 1
Ba4 0.438 0.881 0.614 1
Ba5 0.653 0.311 0.749 1
Ba6 0.798 0.600 0.380 1
In1 0.442 0.882 0.258 1
In2 0.655 0.311 0.105 1
Si1 0.268 0.540 0.635 1
Si2 0.823 0.651 0.727 1

---

# GGA-PBE Ba3InSi, relaxed
# Energy relative to the elements, uncorrected   -40 meV per atom
# Energy above the lowest structure with this stoichiometry   294 meV/atom
data_Ba3InSi
_chemical_formula_sum 'Ba3 In1 Si1'
_cell_length_a 6.356
_cell_length_b 6.356
_cell_length_c 6.356
_cell_angle_alpha 90.00
_cell_angle_beta 90.00
_cell_angle_gamma 90.00
_symmetry_space_group_name_H-M 'P 1'
_symmetry_Int_Tables_number 1
loop_
_symmetry_equiv_pos_as_xyz
'x,y,z'
loop_
_atom_site_label
_atom_site_fract_x
_atom_site_fract_y
_atom_site_fract_z
_atom_site_occupancy
Ba1 0.000 0.000 0.500 1
Ba2 0.000 0.500 0.000 1
Ba3 0.500 0.000 0.000 1
In1 0.500 0.500 0.500 1
Si1 0.000 0.000 0.000 1

---

# GGA-PBE BaIn2Si, relaxed
# Energy relative to the elements, uncorrected   -208 meV per atom
data_BaIn2Si
_chemical_formula_sum 'Ba1 In2 Si1'
_cell_length_a 4.385
_cell_length_b 4.385
_cell_length_c 6.404
_cell_angle_alpha 90.00
_cell_angle_beta 90.00
_cell_angle_gamma 90.00
_symmetry_space_group_name_H-M 'P 1'
_symmetry_Int_Tables_number 1
loop_
_symmetry_equiv_pos_as_xyz
'x,y,z'
loop_
_atom_site_label
_atom_site_fract_x
_atom_site_fract_y
_atom_site_fract_z
_atom_site_occupancy
Ba1 0.000 0.000 0.000 1
In1 0.000 0.500 0.490 1
In2 0.500 0.000 0.490 1
Si1 0.500 0.500 0.783 1

---

# GGA-PBE BaIn2Si, relaxed
# Energy relative to the elements, uncorrected   -67 meV per atom
data_BaIn2Si
_chemical_formula_sum 'Ba1 In2 Si1'
_cell_length_a 3.809
_cell_length_b 3.809
_cell_length_c 7.795
_cell_angle_alpha 90.00
_cell_angle_beta 90.00
_cell_angle_gamma 90.00
_symmetry_space_group_name_H-M 'P 1'
_symmetry_Int_Tables_number 1
loop_
_symmetry_equiv_pos_as_xyz
'x,y,z'
loop_
_atom_site_label
_atom_site_fract_x
_atom_site_fract_y
_atom_site_fract_z
_atom_site_occupancy
Ba1 0.000 0.000 0.000 1
In1 0.500 0.500 0.313 1
In2 0.500 0.500 0.687 1
Si1 0.000 0.000 0.500 1

---

# GGA-PBE Ba4InSi, relaxed
# Energy relative to the elements, uncorrected   501 meV per atom
# Energy above the lowest structure with this stoichiometry   757 meV/atom
data_Ba4InSi
_chemical_formula_sum 'Ba4 In1 Si1'
_cell_length_a 7.108
_cell_length_b 7.108
_cell_length_c 7.108
_cell_angle_alpha 60.00
_cell_angle_beta 60.00
_cell_angle_gamma 60.00
_symmetry_space_group_name_H-M 'P 1'
_symmetry_Int_Tables_number 1
loop_
_symmetry_equiv_pos_as_xyz
'x,y,z'
loop_
_atom_site_label
_atom_site_fract_x
_atom_site_fract_y
_atom_site_fract_z
_atom_site_occupancy
Ba1 0.376 0.376 0.376 1
Ba2 0.376 0.376 0.872 1
Ba3 0.376 0.872 0.376 1
Ba4 0.872 0.376 0.376 1
In1 0.000 0.000 0.000 1
Si1 0.750 0.750 0.750 1

---

# GGA-PBE Ba2InSi, relaxed
# Energy relative to the elements, uncorrected   -58 meV per atom
data_Ba2InSi
_chemical_formula_sum 'Ba2 In1 Si1'
_cell_length_a 6.487
_cell_length_b 6.487
_cell_length_c 6.487
_cell_angle_alpha 134.59
_cell_angle_beta 134.59
_cell_angle_gamma 66.16
_symmetry_space_group_name_H-M 'P 1'
_symmetry_Int_Tables_number 1
loop_
_symmetry_equiv_pos_as_xyz
'x,y,z'
loop_
_atom_site_label
_atom_site_fract_x
_atom_site_fract_y
_atom_site_fract_z
_atom_site_occupancy
Ba1 0.000 0.000 0.000 1
Ba2 0.750 0.250 0.500 1
In1 0.250 0.750 0.500 1
Si1 0.500 0.500 0.000 1

---

# GGA-PBE BaIn2Si, relaxed
# Energy relative to the elements, uncorrected   -161 meV per atom
data_BaIn2Si
_chemical_formula_sum 'Ba1 In2 Si1'
_cell_length_a 5.431
_cell_length_b 4.508
_cell_length_c 5.445
_cell_angle_alpha 90.00
_cell_angle_beta 106.54
_cell_angle_gamma 90.00
_symmetry_space_group_name_H-M 'P 1'
_symmetry_Int_Tables_number 1
loop_
_symmetry_equiv_pos_as_xyz
'x,y,z'
loop_
_atom_site_label
_atom_site_fract_x
_atom_site_fract_y
_atom_site_fract_z
_atom_site_occupancy
Ba1 0.000 0.000 0.000 1
In1 0.314 0.500 0.685 1
In2 0.686 0.500 0.315 1
Si1 0.500 0.000 0.500 1

---

# GGA-PBE BaIn2Si, relaxed
# Energy relative to the elements, uncorrected   10 meV per atom
data_BaIn2Si
_chemical_formula_sum 'Ba1 In2 Si1'
_cell_length_a 5.460
_cell_length_b 5.460
_cell_length_c 5.460
_cell_angle_alpha 120.10
_cell_angle_beta 120.10
_cell_angle_gamma 89.83
_symmetry_space_group_name_H-M 'P 1'
_symmetry_Int_Tables_number 1
loop_
_symmetry_equiv_pos_as_xyz
'x,y,z'
loop_
_atom_site_label
_atom_site_fract_x
_atom_site_fract_y
_atom_site_fract_z
_atom_site_occupancy
Ba1 0.000 0.000 0.000 1
In1 0.250 0.750 0.500 1
In2 0.500 0.500 0.000 1
Si1 0.750 0.250 0.500 1

---

# GGA-PBE BaInSi2, relaxed
# Energy relative to the elements, uncorrected   102 meV per atom
data_BaInSi2
_chemical_formula_sum 'Ba1 In1 Si2'
_cell_length_a 3.318
_cell_length_b 4.900
_cell_length_c 6.496
_cell_angle_alpha 90.00
_cell_angle_beta 90.00
_cell_angle_gamma 90.00
_symmetry_space_group_name_H-M 'P 1'
_symmetry_Int_Tables_number 1
loop_
_symmetry_equiv_pos_as_xyz
'x,y,z'
loop_
_atom_site_label
_atom_site_fract_x
_atom_site_fract_y
_atom_site_fract_z
_atom_site_occupancy
Ba1 0.000 0.000 0.000 1
In1 0.500 0.000 0.500 1
Si1 0.500 0.500 0.309 1
Si2 0.500 0.500 0.691 1

---

# GGA-PBE BaIn2Si2, relaxed
# Energy relative to the elements, uncorrected   49 meV per atom
data_BaIn2Si2
_chemical_formula_sum 'Ba2 In4 Si4'
_cell_length_a 8.257
_cell_length_b 8.257
_cell_length_c 4.007
_cell_angle_alpha 90.00
_cell_angle_beta 90.00
_cell_angle_gamma 90.00
_symmetry_space_group_name_H-M 'P 1'
_symmetry_Int_Tables_number 1
loop_
_symmetry_equiv_pos_as_xyz
'x,y,z'
loop_
_atom_site_label
_atom_site_fract_x
_atom_site_fract_y
_atom_site_fract_z
_atom_site_occupancy
Ba1 0.000 0.000 0.000 1
Ba2 0.500 0.500 0.000 1
In1 0.153 0.347 0.500 1
In2 0.347 0.847 0.500 1
In3 0.653 0.153 0.500 1
In4 0.847 0.653 0.500 1
Si1 0.103 0.603 0.000 1
Si2 0.397 0.103 0.000 1
Si3 0.603 0.897 0.000 1
Si4 0.897 0.397 0.000 1

---

# GGA-PBE Ba2InSi, relaxed
# Energy relative to the elements, uncorrected   89 meV per atom
data_Ba2InSi
_chemical_formula_sum 'Ba4 In2 Si2'
_cell_length_a 7.514
_cell_length_b 7.514
_cell_length_c 7.514
_cell_angle_alpha 102.56
_cell_angle_beta 102.56
_cell_angle_gamma 124.40
_symmetry_space_group_name_H-M 'P 1'
_symmetry_Int_Tables_number 1
loop_
_symmetry_equiv_pos_as_xyz
'x,y,z'
loop_
_atom_site_label
_atom_site_fract_x
_atom_site_fract_y
_atom_site_fract_z
_atom_site_occupancy
Ba1 0.083 0.125 0.458 1
Ba2 0.375 0.917 0.042 1
Ba3 0.667 0.625 0.542 1
Ba4 0.875 0.333 0.958 1
In1 0.250 0.750 0.500 1
In2 0.500 0.500 0.000 1
Si1 0.000 0.000 0.000 1
Si2 0.750 0.250 0.500 1

---

# GGA-PBE BaInSi2, relaxed
# Energy relative to the elements, uncorrected   5 meV per atom
data_BaInSi2
_chemical_formula_sum 'Ba2 In2 Si4'
_cell_length_a 10.076
_cell_length_b 10.076
_cell_length_c 10.076
_cell_angle_alpha 150.87
_cell_angle_beta 150.87
_cell_angle_gamma 41.67
_symmetry_space_group_name_H-M 'P 1'
_symmetry_Int_Tables_number 1
loop_
_symmetry_equiv_pos_as_xyz
'x,y,z'
loop_
_atom_site_label
_atom_site_fract_x
_atom_site_fract_y
_atom_site_fract_z
_atom_site_occupancy
Ba1 0.375 0.625 0.750 1
Ba2 0.625 0.375 0.250 1
In1 0.125 0.875 0.250 1
In2 0.875 0.125 0.750 1
Si1 0.000 0.000 0.000 1
Si2 0.000 0.000 0.500 1
Si3 0.000 0.500 0.000 1
Si4 0.500 0.000 0.500 1

---

# GGA-PBE Ba2InSi, relaxed
# Energy relative to the elements, uncorrected   -228 meV per atom
data_Ba2InSi
_chemical_formula_sum 'Ba2 In1 Si1'
_cell_length_a 4.129
_cell_length_b 4.129
_cell_length_c 8.318
_cell_angle_alpha 90.00
_cell_angle_beta 90.00
_cell_angle_gamma 90.00
_symmetry_space_group_name_H-M 'P 1'
_symmetry_Int_Tables_number 1
loop_
_symmetry_equiv_pos_as_xyz
'x,y,z'
loop_
_atom_site_label
_atom_site_fract_x
_atom_site_fract_y
_atom_site_fract_z
_atom_site_occupancy
Ba1 0.000 0.000 0.221 1
Ba2 0.000 0.000 0.779 1
In1 0.500 0.500 0.500 1
Si1 0.500 0.500 0.000 1